An optimized crystal structure of Rb3Li2HoCl9. Source: Alexandria, functional PBE.

It has space group P-3m1 (No. 164), with a = 7.2669 Å, b = 7.2669 Å, c = 9.1284 Å, α = 90.00°, β = 90.00° and γ = 120.00°. The distinct sites, in fractional coordinates, are Rb at (0.0000, 0.0000, 0.0000), Rb at (0.3333, 0.6667, 0.6797), Li at (0.3333, 0.6667, 0.1565), Ho at (0.0000, 0.0000, 0.5000), Cl at (0.0000, 0.5000, 0.0000) and Cl at (0.1686, 0.3372, 0.3326).

As for the electronic total energy: -3.7062 eV per atom. The value obtained for the formation energy without anion corrections is -1.84 eV/atom. As for the density of states at the Fermi level: 13.23 states/eV/cell. The value obtained for the density is 3.0 Mg/m³. The calculation puts the magnetic moment at 0.95 μB per formula unit.

---

An optimized crystal structure of SiH. Source: Alexandria, functional PBE.

It has space group Pmmn (No. 59, origin choice 2), with a = 3.2608 Å, b = 3.5082 Å, c = 5.0135 Å, α = 90.00°, β = 90.00° and γ = 90.00°. The distinct sites, in fractional coordinates, are Si at (0.2500, 0.2500, 0.0648) and H at (0.2500, 0.2500, 0.3645).

As for the electronic total energy: -4.2055 eV per atom. As for the density of states at the Fermi level: 0.40 states/eV/cell. The value obtained for the density is 1.7 Mg/m³. The calculation puts the energy above the lowest structure with this stoichiometry at 164.7 meV/atom. The calculation puts the magnetic moment at 0.00 μB per formula unit.